La2MgI8 | SCAN | single point on PBEsol structure

Properties
- energy (eV per formula unit) = -401.33
- energy relative to the elements, uncorrected (kcal/mol of atoms) = -33.99
- magnetic moment (μB per formula unit) = 0.0

a = 9.156 Å, b = 9.156 Å, c = 13.123 Å
α = 91.11°, β = 110.78°, γ = 117.63°
Element x y z (fractional)
I1 0.043 0.652 0.641
I2 0.446 0.055 0.627
I3 0.945 0.346 0.862
I4 0.562 0.887 0.908
I5 0.489 0.598 0.141
I6 0.072 0.181 0.127
I7 0.015 0.917 0.362
I8 0.521 0.347 0.408
I9 0.479 0.653 0.592
I10 0.985 0.083 0.638
I11 0.928 0.819 0.873
I12 0.511 0.402 0.859
I13 0.438 0.113 0.092
I14 0.055 0.654 0.138
I15 0.554 0.945 0.373
I16 0.957 0.348 0.359
Mg1 0.752 0.002 0.750
Mg2 0.248 0.998 0.250
La1 0.269 0.009 0.813
La2 0.304 0.544 0.313
La3 0.696 0.456 0.687
La4 0.731 0.991 0.187